# TbY2Ho5Tm

A relaxed TbY2Ho5Tm crystal (PBE, the Alexandria database).

Calculated volume (Å³/f.u.): 290.5
Fermi-level density of states (states/eV/cell): 29.169
ΔE_f (meV per atom): 152
M_tot (μB per formula unit): 0.0

a b c (Å): 10.248 10.248 10.564
angles (deg): 90.00 90.00 148.43
Fractional positions:
Tb 0.201 0.799 0.500
Tb 0.799 0.201 0.000
Y 0.109 0.891 0.227
Y 0.114 0.886 0.809
Y 0.886 0.114 0.309
Y 0.891 0.109 0.727
Ho 0.019 0.981 0.515
Ho 0.283 0.717 0.796
Ho 0.300 0.700 0.197
Ho 0.393 0.607 0.512
Ho 0.479 0.521 0.228
Ho 0.521 0.479 0.728
Ho 0.607 0.393 0.012
Ho 0.700 0.300 0.697
Ho 0.717 0.283 0.296
Ho 0.981 0.019 0.015
Tm 0.413 0.587 0.949
Tm 0.587 0.413 0.449

# Tb4Y2Ho2Tm

A relaxed Tb4Y2Ho2Tm crystal (PBE, the Alexandria database).

Calculated volume (Å³/f.u.): 285.1
Fermi-level density of states (states/eV/cell): 12.244
ΔE_f (meV per atom): 5
M_tot (μB per formula unit): 0.0

a b c (Å): 9.470 9.470 9.506
angles (deg): 115.27 115.27 21.80
Fractional positions:
Tb 0.018 0.018 0.332
Tb 0.315 0.315 0.667
Tb 0.685 0.685 0.333
Tb 0.982 0.982 0.668
Y 0.352 0.352 0.333
Y 0.648 0.648 0.667
Ho 0.166 0.166 0.001
Ho 0.834 0.834 0.999
Tm 0.500 0.500 0.000